(1)
Compound: Cs2IrCl6
Source: Alexandria via LeMat-Bulk
Functional: meta-GGA SCAN
Structure: single point on PBEsol structure

The structure in POSCAR format:
```
Cs2IrCl6
1.0
0.0000 5.0623 5.0623
5.0623 0.0000 5.0623
5.0623 5.0623 0.0000
Cs Ir Cl
2 1 6
direct
0.2500 0.2500 0.2500
0.7500 0.7500 0.7500
0.0000 0.0000 0.0000
0.2293 0.2293 0.7707
0.2293 0.7707 0.2293
0.2293 0.7707 0.7707
0.7707 0.2293 0.2293
0.7707 0.2293 0.7707
0.7707 0.7707 0.2293
```

Values from the calculation:
space-group type	Fm-3m
V	259	Å³/cell
calculated total energy	-207.2	eV/f.u.
formation energy from raw total energies	-135.1	kJ per mole of atoms

***

(2)
Compound: MgTaIO2
Source: Alexandria via LeMat-Bulk
Functional: meta-GGA SCAN
Structure: single point on PBEsol structure

The structure in POSCAR format:
```
MgTaIO2
1.0
3.9686 0.0000 0.0000
0.0000 3.9686 0.0000
0.0000 0.0000 5.1066
Mg Ta I O
1 1 1 2
direct
0.0000 0.0000 0.0000
0.5000 0.5000 0.5000
0.0000 0.0000 0.5000
0.0000 0.5000 0.0000
0.5000 0.0000 0.0000
```

Values from the calculation:
space-group type	P4/mmm
V	80	Å³/cell
calculated total energy	-120.7	eV/f.u.
formation energy from raw total energies	1.2	kJ per mole of atoms

***

(3)
Compound: Zn4Br
Source: Alexandria via LeMat-Bulk
Functional: meta-GGA SCAN
Structure: single point on PBEsol structure

The structure in POSCAR format:
```
Zn4Br
1.0
-4.0100 4.0100 1.3446
4.0100 -4.0100 1.3446
4.0100 4.0100 -1.3446
Zn Br
4 1
direct
0.1275 0.6690 0.7965
0.3310 0.1275 0.4585
0.6690 0.8725 0.5415
0.8725 0.3310 0.2035
0.0000 0.0000 0.0000
```

Values from the calculation:
space-group type	I4/m
V	86	Å³/cell
calculated total energy	-73.0	eV/f.u.
formation energy from raw total energies	10.6	kJ per mole of atoms

***

(4)
Compound: B2O3
Source: Alexandria via LeMat-Bulk
Functional: meta-GGA SCAN
Structure: single point on PBEsol structure

The structure in POSCAR format:
```
B2O3
1.0
4.3491 0.0000 0.0000
-2.1746 3.7665 0.0000
0.0000 0.0000 8.3195
B O
6 9
direct
0.1628 0.3974 0.3920
0.2346 0.8372 0.0587
0.3974 0.1628 0.6080
0.6026 0.7654 0.7254
0.7654 0.6026 0.2746
0.8372 0.2346 0.9413
0.0000 0.8433 0.1667
0.1500 0.5518 0.9600
0.1567 0.1567 0.5000
0.4018 0.8500 0.6266
0.4482 0.5982 0.2933
0.5518 0.1500 0.0400
0.5982 0.4482 0.7067
0.8433 0.0000 0.8333
0.8500 0.4018 0.3734
```

Values from the calculation:
space-group type	P3_121
V	136	Å³/cell
calculated total energy	-46.5	eV/f.u.
formation energy from raw total energies	-249.3	kJ per mole of atoms

***

(5)
Compound: SiTeAu2
Source: Alexandria via LeMat-Bulk
Functional: meta-GGA SCAN
Structure: single point on PBEsol structure

The structure in POSCAR format:
```
SiTeAu2
1.0
-2.1428 2.1428 4.2006
2.1428 -2.1428 4.2006
2.1428 2.1428 -4.2006
Si Te Au
1 1 2
direct
0.0000 0.0000 0.0000
0.7500 0.2500 0.5000
0.2500 0.7500 0.5000
0.5000 0.5000 0.0000
```

Values from the calculation:
space-group type	I-4m2
energy relative to the lowest polymorph listed for this composition	1.953	eV/f.u.
V	77	Å³/cell
calculated total energy	-183.8	eV/f.u.
formation energy from raw total energies	43.6	kJ per mole of atoms

***

(6)
Compound: NaMg3B
Source: Alexandria via LeMat-Bulk
Functional: meta-GGA SCAN
Structure: single point on PBEsol structure

The structure in POSCAR format:
```
NaMg3B
1.0
4.6743 0.0000 0.0000
0.0000 4.6743 0.0000
0.0000 0.0000 4.6743
Na Mg B
1 3 1
direct
0.0000 0.0000 0.0000
0.0000 0.5000 0.5000
0.5000 0.0000 0.5000
0.5000 0.5000 0.0000
0.5000 0.5000 0.5000
```

Values from the calculation:
space-group type	Pm-3m
V	102	Å³/cell
energy of formation	0.22	eV per atom
calculated total energy	-25.5	eV/f.u.

***

(7)
Compound: AlGaIrRu2
Source: Alexandria via LeMat-Bulk
Functional: meta-GGA SCAN
Structure: single point on PBEsol structure

The structure in POSCAR format:
```
AlGaIrRu2
1.0
4.2892 0.0000 0.0000
0.0000 4.2892 0.0000
0.0000 0.0000 4.3695
Al Ga Ir Ru
1 1 1 2
direct
0.0000 0.0000 0.0000
0.0000 0.0000 0.5000
0.5000 0.5000 0.5000
0.0000 0.5000 0.0000
0.5000 0.0000 0.0000
```

Values from the calculation:
space-group type	P4/mmm
V	80	Å³/cell
energy of formation	1.29	eV per atom
calculated total energy	-158.4	eV/f.u.

***

(8)
Compound: CaBe2Ir
Source: Alexandria via LeMat-Bulk
Functional: meta-GGA SCAN
Structure: single point on PBEsol structure

The structure in POSCAR format:
```
CaBe2Ir
1.0
1.9482 1.1248 4.8804
-1.9482 1.1248 4.8804
0.0000 -2.2496 4.8804
Ca Be Ir
1 2 1
direct
0.0000 0.0000 0.0000
0.1882 0.1882 0.1882
0.8118 0.8118 0.8118
0.5000 0.5000 0.5000
```

Values from the calculation:
space-group type	R-3m
energy relative to the lowest polymorph listed for this composition	0.000	eV/f.u.
V	64	Å³/cell
energy of formation	-0.49	eV per atom
calculated total energy	-91.4	eV/f.u.

***

(9)
Compound: Sc2Ni
Source: Alexandria via LeMat-Bulk
Functional: meta-GGA SCAN
Structure: single point on PBEsol structure

The structure in POSCAR format:
```
Sc2Ni
1.0
4.4574 0.0000 0.0000
0.0000 4.4574 0.0000
0.0000 0.0000 2.9380
Sc Ni
2 1
direct
0.0000 0.5000 0.0000
0.5000 0.0000 0.0000
0.0000 0.0000 0.5000
```

Values from the calculation:
space-group type	P4/mmm
V	58	Å³/cell
energy of formation	-0.17	eV per atom
calculated total energy	-45.2	eV/f.u.

***

(10)
Compound: MgGa2
Source: Alexandria via LeMat-Bulk
Functional: meta-GGA SCAN
Structure: single point on PBEsol structure

The structure in POSCAR format:
```
MgGa2
1.0
2.6344 1.5210 4.6175
-2.6344 1.5210 4.6175
0.0000 -3.0420 4.6175
Mg Ga
2 4
direct
0.1674 0.1674 0.1674
0.8326 0.8326 0.8326
0.0000 0.6651 0.3349
0.3349 0.0000 0.6651
0.5000 0.5000 0.5000
0.6651 0.3349 0.0000
```

Values from the calculation:
space-group type	R32
V	111	Å³/cell
energy of formation	-0.06	eV per atom
calculated total energy	-37.8	eV/f.u.

***

(11)
Compound: NaSi5N7
Source: Alexandria via LeMat-Bulk
Functional: meta-GGA SCAN
Structure: single point on PBEsol structure

The structure in POSCAR format:
```
NaSi5N7
1.0
11.6227 0.0000 0.0000
0.0000 20.7883 0.0000
0.0000 0.0000 4.8859
Na Si N
8 40 56
direct
0.1459 0.1890 0.0000
0.2155 0.9926 0.4911
0.2845 0.4926 0.9911
0.3541 0.6890 0.5000
0.6459 0.3110 0.0000
0.7155 0.5074 0.4911
0.7845 0.0074 0.9911
0.8541 0.8110 0.5000
0.0100 0.5428 0.0249
0.0340 0.1100 0.5153
0.0603 0.0307 0.0152
0.0796 0.7002 0.5277
0.1034 0.8504 0.5270
0.1411 0.7779 0.0263
0.1548 0.3492 0.7776
0.1555 0.3498 0.2810
0.1690 0.5627 0.5105
0.1977 0.6394 0.0127
0.3023 0.1394 0.5127
0.3310 0.0627 0.0105
0.3452 0.8492 0.2776
0.3445 0.8498 0.7810
0.3589 0.2779 0.5263
0.3966 0.3504 0.0270
0.4204 0.2002 0.0277
0.4397 0.5307 0.5152
0.4660 0.6100 0.0153
0.4900 0.0428 0.5249
0.5100 0.9572 0.0249
0.5340 0.3900 0.5153
0.5603 0.4693 0.0152
0.5796 0.7998 0.5277
0.6034 0.6496 0.5270
0.6411 0.7221 0.0263
0.6555 0.1502 0.2810
0.6548 0.1508 0.7776
0.6690 0.9373 0.5105
0.6977 0.8606 0.0127
0.8023 0.3606 0.5127
0.8310 0.4373 0.0105
0.8445 0.6502 0.7810
0.8452 0.6508 0.2776
0.8589 0.2221 0.5263
0.8966 0.1496 0.0270
0.9204 0.2998 0.0277
0.9397 0.9693 0.5152
0.9660 0.8900 0.0153
0.9900 0.4572 0.5249
0.0060 0.8997 0.3629
0.0159 0.0338 0.3620
0.0500 0.5223 0.3568
0.0663 0.3180 0.0303
0.0666 0.8380 0.8621
0.0943 0.3977 0.5322
0.0990 0.7744 0.3655
0.1268 0.7057 0.8621
0.1312 0.5716 0.8584
0.1584 0.6410 0.3613
0.1623 0.1423 0.4623
0.2031 0.0276 0.9655
0.2155 0.3006 0.5294
0.2477 0.8765 0.5259
0.2523 0.3765 0.0259
0.2845 0.8006 0.0294
0.2969 0.5276 0.4655
0.3377 0.6423 0.9623
0.3416 0.1410 0.8613
0.3688 0.0716 0.3584
0.3732 0.2057 0.3621
0.4010 0.2744 0.8655
0.4057 0.8977 0.0322
0.4334 0.3380 0.3621
0.4337 0.8180 0.5303
0.4500 0.0223 0.8568
0.4841 0.5338 0.8620
0.4940 0.3997 0.8629
0.5060 0.6003 0.3629
0.5159 0.4662 0.3620
0.5500 0.9777 0.3568
0.5663 0.1820 0.0303
0.5666 0.6620 0.8621
0.5943 0.1023 0.5322
0.5990 0.7256 0.3655
0.6268 0.7943 0.8621
0.6312 0.9284 0.8584
0.6584 0.8590 0.3613
0.6623 0.3577 0.4623
0.7031 0.4724 0.9655
0.7155 0.1994 0.5294
0.7477 0.6235 0.5259
0.7523 0.1235 0.0259
0.7845 0.6994 0.0294
0.7969 0.9724 0.4655
0.8377 0.8577 0.9623
0.8416 0.3590 0.8613
0.8688 0.4284 0.3584
0.8732 0.2943 0.3621
0.9010 0.2256 0.8655
0.9057 0.6023 0.0322
0.9334 0.1620 0.3621
0.9337 0.6820 0.5303
0.9500 0.4777 0.8568
0.9841 0.9662 0.8620
0.9940 0.1003 0.8629
```

Values from the calculation:
space-group type	Pna2_1
V	1181	Å³/cell
calculated total energy	-135.8	eV/f.u.
formation energy from raw total energies	-122.1	kJ per mole of atoms

***

(12)
Compound: KW
Source: Alexandria via LeMat-Bulk
Functional: meta-GGA SCAN
Structure: single point on PBEsol structure

The structure in POSCAR format:
```
KW
1.0
1.4002 0.8084 6.2043
-1.4002 0.8084 6.2043
0.0000 -1.6168 6.2043
K W
1 1
direct
0.0000 0.0000 0.0000
0.5000 0.5000 0.5000
```

Values from the calculation:
space-group type	R-3m
energy relative to the lowest polymorph listed for this composition	1.178	eV/f.u.
V	42	Å³/cell
energy of formation	1.61	eV per atom
calculated total energy	-74.8	eV/f.u.

***

Q: Which of these has the highest V?
A: NaSi5N7

***

Repeat the sixth record exactly.
Compound: NaMg3B
Source: Alexandria via LeMat-Bulk
Functional: meta-GGA SCAN
Structure: single point on PBEsol structure

The structure in POSCAR format:
```
NaMg3B
1.0
4.6743 0.0000 0.0000
0.0000 4.6743 0.0000
0.0000 0.0000 4.6743
Na Mg B
1 3 1
direct
0.0000 0.0000 0.0000
0.0000 0.5000 0.5000
0.5000 0.0000 0.5000
0.5000 0.5000 0.0000
0.5000 0.5000 0.5000
```

Values from the calculation:
space-group type	Pm-3m
V	102	Å³/cell
energy of formation	0.22	eV per atom
calculated total energy	-25.5	eV/f.u.

***

Repeat the seventh record exactly.
Compound: AlGaIrRu2
Source: Alexandria via LeMat-Bulk
Functional: meta-GGA SCAN
Structure: single point on PBEsol structure

The structure in POSCAR format:
```
AlGaIrRu2
1.0
4.2892 0.0000 0.0000
0.0000 4.2892 0.0000
0.0000 0.0000 4.3695
Al Ga Ir Ru
1 1 1 2
direct
0.0000 0.0000 0.0000
0.0000 0.0000 0.5000
0.5000 0.5000 0.5000
0.0000 0.5000 0.0000
0.5000 0.0000 0.0000
```

Values from the calculation:
space-group type	P4/mmm
V	80	Å³/cell
energy of formation	1.29	eV per atom
calculated total energy	-158.4	eV/f.u.